<i>
A geometry-optimized MnTe2Pd7 structure, computed with PBE.

abc: 7.5248 14.9937 3.5331
angles: 90.00 90.00 90.00
Space group Cmmm (No. 65)
Unique sites:
1 Mn 0.0000 0.0000 0.0000 x2
2 Te 0.0000 0.3248 0.5000 x4
3 Pd 0.0000 0.2007 0.0000 x4
4 Pd 0.0000 0.5000 0.5000 x2
5 Pd 0.1871 0.0936 0.5000 x8

Total magnetic moment: 9.590 μB/cell

***

<ii>
A geometry-optimized MnTe2Pd7 structure, computed with PBE.

abc: 4.0134 4.0134 22.5280
angles: 90.00 90.00 90.00
Space group I4/mmm (No. 139)
Unique sites:
1 Mn 0.0000 0.0000 0.0000 x2
2 Te 0.0000 0.0000 0.3345 x4
3 Pd 0.0000 0.0000 0.5000 x2
4 Pd 0.0000 0.5000 0.0857 x8
5 Pd 0.0000 0.5000 0.2500 x4

Total magnetic moment: 9.327 μB/cell

***

The winner here is <ii>, beating the second structure by 189 meV per atom.

***

<i>
A geometry-optimized MnTePd3 structure, computed with PBE.

abc: 4.6102 4.6102 4.6102
angles: 90.00 90.00 90.00
Space group Pm-3m (No. 221)
Unique sites:
1 Mn 0.0000 0.0000 0.0000 x1
2 Te 0.5000 0.5000 0.5000 x1
3 Pd 0.0000 0.0000 0.5000 x3

Total magnetic moment: 0.000 μB/cell

***

<ii>
A geometry-optimized MnTePd3 structure, computed with PBE.

abc: 4.9223 4.9223 4.9223
angles: 90.00 90.00 90.00
Space group Pm-3m (No. 221)
Unique sites:
1 Mn 0.0000 0.0000 0.0000 x1
2 Te 0.5000 0.5000 0.5000 x1
3 Pd 0.0000 0.5000 0.5000 x3

Total magnetic moment: 4.885 μB/cell

***

The winner here is <ii>, beating the second structure by 298 meV per atom.